Record 1
{"formula": "CeNbSi2Mo", "functional": "GGA-PBE", "state": "optimized geometry", "lattice": [[4.022, 0.000, 0.000], [0.000, 4.022, 0.000], [0.000, 0.000, 11.530]], "species": ["Ce", "Ce", "Nb", "Nb", "Si", "Si", "Si", "Si", "Mo", "Mo"], "frac_coords": [[0.000, 0.000, 0.000], [0.500, 0.500, 0.500], [0.000, 0.500, 0.750], [0.500, 0.000, 0.250], [0.000, 0.000, 0.396], [0.000, 0.000, 0.604], [0.500, 0.500, 0.104], [0.500, 0.500, 0.896], [0.000, 0.500, 0.250], [0.500, 0.000, 0.750]], "e_form_raw_ev_per_atom": -0.56, "crystal_system": "tetragonal"}

---

Record 2
{"formula": "Ac3Re2N7", "functional": "GGA-PBE", "state": "optimized geometry", "lattice": [[2.009, -11.130, 0.000], [2.009, 11.130, 0.000], [0.000, 0.000, 3.940]], "species": ["Ac", "Ac", "Ac", "Re", "Re", "N", "N", "N", "N", "N", "N", "N"], "frac_coords": [[0.000, 0.000, 0.000], [0.175, 0.825, 0.000], [0.825, 0.175, 0.000], [0.408, 0.592, 0.500], [0.592, 0.408, 0.500], [0.092, 0.908, 0.500], [0.315, 0.685, 0.500], [0.407, 0.593, 0.000], [0.500, 0.500, 0.500], [0.593, 0.407, 0.000], [0.685, 0.315, 0.500], [0.908, 0.092, 0.500]], "e_form_raw_ev_per_atom": -0.69, "crystal_system": "orthorhombic"}

---

Record 3
{"formula": "Pm6Hg2TeSe3", "functional": "GGA-PBE", "state": "optimized geometry", "lattice": [[9.642, -2.095, 0.000], [9.642, 2.095, 0.000], [-2.831, 0.000, 8.441]], "species": ["Pm", "Pm", "Pm", "Pm", "Pm", "Pm", "Hg", "Hg", "Te", "Se", "Se", "Se"], "frac_coords": [[0.002, 0.002, 0.267], [0.328, 0.328, 0.907], [0.342, 0.342, 0.387], [0.658, 0.658, 0.613], [0.672, 0.672, 0.093], [0.998, 0.998, 0.733], [0.178, 0.178, 0.366], [0.822, 0.822, 0.634], [0.500, 0.500, 0.000], [0.162, 0.162, 0.850], [0.500, 0.500, 0.500], [0.838, 0.838, 0.150]], "e_form_raw_ev_per_atom": -1.30, "crystal_system": "monoclinic"}

---

Record 4
{"formula": "Ca3BrCl", "functional": "GGA-PBE", "state": "optimized geometry", "lattice": [[5.590, 0.000, 0.000], [0.000, 5.590, 0.000], [0.000, 0.000, 5.590]], "species": ["Ca", "Ca", "Ca", "Br", "Cl"], "frac_coords": [[0.000, 0.000, 0.500], [0.000, 0.500, 0.000], [0.500, 0.000, 0.000], [0.500, 0.500, 0.500], [0.000, 0.000, 0.000]], "e_form_raw_ev_per_atom": -0.53, "crystal_system": "cubic"}

---

Record 5
{"formula": "Ca2ZrMn", "functional": "GGA-PBE", "state": "optimized geometry", "lattice": [[3.546, 0.000, 0.000], [0.000, 5.703, 0.000], [0.000, 0.000, 10.701]], "species": ["Ca", "Ca", "Ca", "Ca", "Zr", "Zr", "Mn", "Mn"], "frac_coords": [[0.000, 0.000, 0.000], [0.000, 0.500, 0.201], [0.500, 0.000, 0.701], [0.500, 0.500, 0.500], [0.000, 0.000, 0.401], [0.500, 0.500, 0.901], [0.000, 0.500, 0.732], [0.500, 0.000, 0.232]], "crystal_system": "orthorhombic", "formation_enthalpy_0k_kj_per_mol_fu": 139.0}

---

Record 6
{"formula": "Ac2La8Pr", "functional": "GGA-PBE", "state": "optimized geometry", "lattice": [[10.285, -3.624, 0.000], [10.285, 3.624, 0.000], [-0.230, 0.000, 5.818]], "species": ["Ac", "Ac", "La", "La", "La", "La", "La", "La", "La", "La", "Pr"], "frac_coords": [[0.220, 0.220, 0.257], [0.780, 0.780, 0.743], [0.045, 0.045, 0.235], [0.099, 0.648, 0.259], [0.327, 0.327, 0.768], [0.352, 0.901, 0.741], [0.648, 0.099, 0.259], [0.673, 0.673, 0.232], [0.901, 0.352, 0.741], [0.955, 0.955, 0.765], [0.500, 0.500, 0.000]], "crystal_system": "monoclinic", "formation_enthalpy_0k_kj_per_mol_fu": 156.0}

---

Record 7
{"formula": "SmSnSb2", "functional": "GGA-PBE", "state": "optimized geometry", "lattice": [[5.103, 0.000, 0.000], [0.000, 5.103, 0.000], [0.000, 0.000, 4.242]], "species": ["Sm", "Sn", "Sb", "Sb"], "frac_coords": [[0.000, 0.000, 0.000], [0.500, 0.500, 0.000], [0.000, 0.500, 0.500], [0.500, 0.000, 0.500]], "e_form_raw_ev_per_atom": -0.48, "crystal_system": "tetragonal"}

---

Record 8
{"formula": "Na8Tl2In3", "functional": "GGA-PBE", "state": "optimized geometry", "lattice": [[6.151, -5.694, 0.000], [6.151, 5.694, 0.000], [-2.405, 0.000, 5.459]], "species": ["Na", "Na", "Na", "Na", "Na", "Na", "Na", "Na", "Tl", "Tl", "In", "In", "In"], "frac_coords": [[0.073, 0.073, 0.281], [0.097, 0.579, 0.845], [0.360, 0.360, 0.418], [0.421, 0.903, 0.155], [0.579, 0.097, 0.845], [0.640, 0.640, 0.582], [0.903, 0.421, 0.155], [0.927, 0.927, 0.719], [0.201, 0.201, 0.845], [0.799, 0.799, 0.155], [0.237, 0.763, 0.500], [0.500, 0.500, 0.000], [0.763, 0.237, 0.500]], "crystal_system": "monoclinic", "formation_enthalpy_0k_kj_per_mol_fu": -48.7}